[1]
{"formula": "RbSiSnSe4", "functional": "GGA-PBE", "state": "relaxed", "lattice_angstrom": [[6.573, 0.000, 0.000], [0.000, 7.168, 0.000], [-3.234, 0.000, 9.046]], "species": ["Rb", "Rb", "Si", "Si", "Sn", "Sn", "Se", "Se", "Se", "Se", "Se", "Se", "Se", "Se"], "fractional_positions": [[0.230, 0.250, 0.435], [0.770, 0.750, 0.565], [0.285, 0.750, 0.168], [0.715, 0.250, 0.832], [0.278, 0.250, 0.957], [0.722, 0.750, 0.043], [0.059, 0.750, 0.929], [0.085, 0.750, 0.320], [0.482, 0.501, 0.790], [0.482, 0.999, 0.790], [0.518, 0.001, 0.210], [0.518, 0.499, 0.210], [0.915, 0.250, 0.680], [0.941, 0.250, 0.071]], "magnetic_moment_mub_per_fu": 0.000, "raw_formation_energy_ev_per_atom": -0.615, "dft_energy_ev_per_cell": -57.27, "spacegroup": "P2_1/m (11)"}

=====

[2]
{"formula": "Ce2HoGaC", "functional": "GGA-PBE", "state": "relaxed", "lattice_angstrom": [[4.886, 0.000, 0.000], [0.000, 4.886, 0.000], [0.000, 0.000, 4.880]], "species": ["Ce", "Ce", "Ho", "Ga", "C"], "fractional_positions": [[0.000, 0.500, 0.000], [0.500, 0.000, 0.000], [0.000, 0.000, 0.500], [0.500, 0.500, 0.500], [0.000, 0.000, 0.000]], "magnetic_moment_mub_per_fu": 0.846, "dft_energy_ev_per_cell": -30.33, "spacegroup": "P4/mmm (123)"}

=====

[3]
{"formula": "Ce2CrGe6Os", "functional": "GGA-PBE", "state": "relaxed", "lattice_angstrom": [[3.064, 1.769, 12.251], [-3.064, 1.769, 12.251], [0.000, -3.538, 12.251]], "species": ["Ce", "Ce", "Ce", "Ce", "Cr", "Cr", "Ge", "Ge", "Ge", "Ge", "Ge", "Ge", "Ge", "Ge", "Ge", "Ge", "Ge", "Ge", "Os", "Os"], "fractional_positions": [[0.112, 0.112, 0.112], [0.297, 0.297, 0.297], [0.703, 0.703, 0.703], [0.888, 0.888, 0.888], [0.000, 0.000, 0.000], [0.500, 0.500, 0.500], [0.071, 0.660, 0.660], [0.227, 0.227, 0.666], [0.227, 0.666, 0.227], [0.334, 0.773, 0.773], [0.340, 0.340, 0.929], [0.340, 0.929, 0.340], [0.660, 0.071, 0.660], [0.660, 0.660, 0.071], [0.666, 0.227, 0.227], [0.773, 0.334, 0.773], [0.773, 0.773, 0.334], [0.929, 0.340, 0.340], [0.427, 0.427, 0.427], [0.573, 0.573, 0.573]], "magnetic_moment_mub_per_fu": 3.247, "dft_energy_ev_per_cell": -126.95, "spacegroup": "R-3m (166)"}

=====

[4]
{"formula": "Sm4MgIr2", "functional": "GGA-PBE", "state": "relaxed", "lattice_angstrom": [[7.337, 0.000, 0.000], [-0.855, 7.288, 0.000], [-1.694, -1.906, 7.358]], "species": ["Sm", "Sm", "Sm", "Sm", "Sm", "Sm", "Sm", "Sm", "Mg", "Mg", "Ir", "Ir", "Ir", "Ir"], "fractional_positions": [[0.000, 0.000, 0.000], [0.000, 0.001, 0.490], [0.043, 0.434, 0.352], [0.420, 0.409, 0.023], [0.528, 0.087, 0.646], [0.566, 0.958, 0.138], [0.593, 0.582, 0.468], [0.915, 0.472, 0.844], [0.224, 0.777, 0.245], [0.279, 0.723, 0.745], [0.314, 0.180, 0.310], [0.743, 0.253, 0.027], [0.748, 0.258, 0.463], [0.821, 0.687, 0.180]], "magnetic_moment_mub_per_fu": 0.000, "dft_energy_ev_per_cell": -81.93, "spacegroup": "P1 (1)"}

=====

[5]
{"formula": "SrAgI", "functional": "GGA-PBE", "state": "relaxed", "lattice_angstrom": [[4.609, 0.000, 0.000], [0.000, 4.683, 0.000], [-0.861, 0.000, 9.296]], "species": ["Sr", "Sr", "Ag", "Ag", "I", "I"], "fractional_positions": [[0.197, 0.250, 0.241], [0.803, 0.750, 0.759], [0.326, 0.750, 0.009], [0.674, 0.250, 0.991], [0.274, 0.250, 0.632], [0.726, 0.750, 0.368]], "magnetic_moment_mub_per_fu": 0.000, "raw_formation_energy_ev_per_atom": -0.817, "e_above_lowest_polymorph_ev_per_atom": 0.119, "dft_energy_ev_per_cell": -17.07, "spacegroup": "P2_1/m (11)"}

=====

[6]
{"formula": "Na8Tl6Pd", "functional": "GGA-PBE", "state": "relaxed", "lattice_angstrom": [[4.451, 2.570, 6.706], [-4.451, 2.570, 6.706], [0.000, -5.139, 6.706]], "species": ["Na", "Na", "Na", "Na", "Na", "Na", "Na", "Na", "Tl", "Tl", "Tl", "Tl", "Tl", "Tl", "Pd"], "fractional_positions": [[0.009, 0.739, 0.397], [0.161, 0.161, 0.161], [0.261, 0.603, 0.991], [0.397, 0.009, 0.739], [0.603, 0.991, 0.261], [0.739, 0.397, 0.009], [0.839, 0.839, 0.839], [0.991, 0.261, 0.603], [0.152, 0.449, 0.754], [0.246, 0.848, 0.551], [0.449, 0.754, 0.152], [0.551, 0.246, 0.848], [0.754, 0.152, 0.449], [0.848, 0.551, 0.246], [0.500, 0.500, 0.500]], "magnetic_moment_mub_per_fu": 0.000, "e_above_lowest_polymorph_ev_per_atom": 0.000, "dft_energy_ev_per_cell": -31.17, "spacegroup": "R-3 (148)"}

=====

[7]
{"formula": "Cu2RhNCl", "functional": "GGA-PBE", "state": "relaxed", "lattice_angstrom": [[4.127, 0.000, 0.000], [0.000, 4.127, 0.000], [0.000, 0.000, 3.966]], "species": ["Cu", "Cu", "Rh", "N", "Cl"], "fractional_positions": [[0.000, 0.500, 0.000], [0.500, 0.000, 0.000], [0.000, 0.000, 0.500], [0.000, 0.000, 0.000], [0.500, 0.500, 0.500]], "magnetic_moment_mub_per_fu": 0.000, "raw_formation_energy_ev_per_atom": 0.398, "dft_energy_ev_per_cell": -23.73, "spacegroup": "P4/mmm (123)"}

=====

[8]
{"formula": "PuTlBr6", "functional": "GGA-PBE", "state": "relaxed", "lattice_angstrom": [[3.878, -6.037, 0.000], [3.878, 6.037, 0.000], [-1.960, 0.000, 7.059]], "species": ["Pu", "Tl", "Br", "Br", "Br", "Br", "Br", "Br"], "fractional_positions": [[0.000, 0.000, 0.000], [0.500, 0.500, 0.500], [0.026, 0.341, 0.236], [0.256, 0.256, 0.814], [0.341, 0.026, 0.236], [0.659, 0.974, 0.764], [0.744, 0.744, 0.186], [0.974, 0.659, 0.764]], "magnetic_moment_mub_per_fu": 3.000, "raw_formation_energy_ev_per_atom": -1.012, "dft_energy_ev_per_cell": -34.83, "spacegroup": "C2/m (12)"}